## TaAlIr (PBE)

Data for TaAlIr after structural relaxation.

Results
- crystal system = hexagonal
- calculated total energy (Ry per atom) = -0.64239
- density of states at the Fermi level (states/eV per atom) = 0.50
- total magnetization (μB/f.u.) = 0.00
- ΔE_f (eV per atom) = -0.588

Geometry as CIF:
```
data_TaAlIr
_space_group_name_H-M_alt 'P -6 m 2'
_space_group_IT_number 187
_space_group_name_Hall 'P -6 2'
_cell_length_a 4.3507
_cell_length_b 4.3507
_cell_length_c 2.8757
_cell_angle_alpha 90.00
_cell_angle_beta 90.00
_cell_angle_gamma 120.00
loop_
_atom_site_label
_atom_site_fract_x
_atom_site_fract_y
_atom_site_fract_z
Ta1 0.0000 0.0000 0.0000
Al1 0.6667 0.3333 0.5000
Ir1 0.3333 0.6667 0.5000
```

=====

## Pm7TlIn4 (PBE)

Data for Pm7TlIn4 after structural relaxation.

Results
- crystal system = monoclinic
- calculated total energy (Ry per atom) = -0.30214
- density of states at the Fermi level (states/eV per atom) = 1.12
- total magnetization (μB/f.u.) = 0.00
- ΔE_f (eV per atom) = -0.230

Geometry as CIF:
```
data_Pm7TlIn4
_space_group_name_H-M_alt 'C 1 2/m 1'
_space_group_IT_number 12
_cell_length_a 14.711
_cell_length_b 5.965
_cell_length_c 9.569
_cell_angle_alpha 90.00
_cell_angle_beta 118.37
_cell_angle_gamma 90.00
loop_
_space_group_symop_operation_xyz
'x,y,z'
'-x,-y,-z'
'-x,y,-z'
'x,-y,z'
'x+1/2,y+1/2,z'
'-x+1/2,-y+1/2,-z'
'-x+1/2,y+1/2,-z'
'x+1/2,-y+1/2,z'
loop_
_atom_site_label
_atom_site_fract_x
_atom_site_fract_y
_atom_site_fract_z
Pm1 0.000 0.000 0.000
Pm2 0.077 0.500 0.411
Pm3 0.184 0.500 0.871
Pm4 0.248 0.500 0.280
Tl1 0.000 0.500 0.000
In1 0.032 0.000 0.680
In2 0.182 0.000 0.341
```

=====

## Li2LaAl10 (PBE)

Data for Li2LaAl10 after structural relaxation.

Results
- crystal system = orthorhombic
- calculated total energy (Ry per atom) = -0.27336
- density of states at the Fermi level (states/eV per atom) = 0.42
- total magnetization (μB/f.u.) = 0.00
- ΔE_f (eV per atom) = -0.167

Geometry as CIF:
```
data_Li2LaAl10
_space_group_name_H-M_alt 'F m m m'
_space_group_IT_number 69
_space_group_name_Hall '-F 2 2'
_cell_length_a 5.374
_cell_length_b 12.915
_cell_length_c 13.440
_cell_angle_alpha 90.00
_cell_angle_beta 90.00
_cell_angle_gamma 90.00
loop_
_atom_site_label
_atom_site_fract_x
_atom_site_fract_y
_atom_site_fract_z
Li1 0.250 0.000 0.250
La1 0.000 0.000 0.000
Al1 0.000 0.112 0.386
Al2 0.000 0.177 0.177
Al3 0.250 0.250 0.000
```

=====

## NdTmZn (PBE)

Data for NdTmZn after structural relaxation.

Results
- crystal system = tetragonal
- calculated total energy (Ry per atom) = -0.25777
- density of states at the Fermi level (states/eV per atom) = 1.02
- total magnetization (μB/f.u.) = 0.00
- ΔE_f (eV per atom) = -0.003
- distance to the lowest polymorph of the same formula (meV per atom) = 199

Geometry as CIF:
```
data_NdTmZn
_space_group_name_H-M_alt 'P 4/n m m'
_space_group_IT_number 129
_cell_length_a 4.654
_cell_length_b 4.654
_cell_length_c 7.753
_cell_angle_alpha 90.00
_cell_angle_beta 90.00
_cell_angle_gamma 90.00
loop_
_space_group_symop_operation_xyz
'x,y,z'
'-x,-y,-z'
'-y+1/2,x,z'
'y+1/2,-x,-z'
'-x+1/2,-y+1/2,z'
'x+1/2,y+1/2,-z'
'y,-x+1/2,z'
'-y,x+1/2,-z'
'x+1/2,-y,-z'
'-x+1/2,y,z'
'-y,-x,-z'
'y,x,z'
'-x,y+1/2,-z'
'x,-y+1/2,z'
'y+1/2,x+1/2,-z'
'-y+1/2,-x+1/2,z'
loop_
_atom_site_label
_atom_site_fract_x
_atom_site_fract_y
_atom_site_fract_z
Nd1 0.250 0.250 0.173
Tm1 0.250 0.250 0.713
Zn1 0.250 0.750 0.500
```

=====

- Among the records above, which one has the highest calculated total energy?
  NdTmZn